1.
Below is an optimized crystal structure of BaSn3O, with properties calculated at the GGA-PBE level.

POSCAR file:
```
BaSn3O
1.0
5.061 0.000 0.000
0.000 5.061 0.000
0.000 0.000 5.061
Sn Ba O
3 1 1
Direct
0.500 0.000 0.000 Sn
0.000 0.000 0.500 Sn
0.000 0.500 0.000 Sn
0.500 0.500 0.500 Ba
0.000 0.000 0.000 O
```

DOS at the Fermi energy ... 2.48 states/eV/f.u.
Calculated total energy ... -4.2739 eV/atom
Total moment ... 0.000 μB/f.u.
Symmetry ... Pm-3m
Formation energy from raw total energies ... -0.4960 eV per atom



2.
Below is an optimized crystal structure of Er2Fe3Mo, with properties calculated at the GGA-PBE level.

POSCAR file:
```
Er2Fe3Mo
1.0
5.277 0.000 0.000
-2.639 4.570 0.000
0.000 0.000 8.141
Er Fe Mo
4 6 2
Direct
0.667 0.333 0.062 Er
0.333 0.667 0.562 Er
0.333 0.667 0.938 Er
0.667 0.333 0.438 Er
0.343 0.171 0.750 Fe
0.829 0.657 0.750 Fe
0.829 0.171 0.750 Fe
0.171 0.343 0.250 Fe
0.657 0.829 0.250 Fe
0.171 0.829 0.250 Fe
0.000 0.000 0.500 Mo
0.000 0.000 0.000 Mo
```

DOS at the Fermi energy ... 5.33 states/eV/f.u.
Calculated total energy ... -7.5974 eV/atom
Total moment ... 3.087 μB/f.u.
Symmetry ... P6_3/mmc



3.
Below is an optimized crystal structure of CaTm2ZrO6, with properties calculated at the GGA-PBE level.

POSCAR file:
```
CaTm2ZrO6
1.0
-4.289 3.509 1.292
-2.303 -0.116 5.202
1.089 4.584 3.697
Zr O Tm Ca
1 6 2 1
Direct
0.313 0.313 0.061 Zr
0.394 0.704 0.758 O
0.704 0.144 0.758 O
0.601 0.224 0.240 O
0.935 0.601 0.240 O
0.224 0.935 0.240 O
0.144 0.394 0.758 O
0.021 0.021 0.937 Tm
0.523 0.523 0.430 Tm
0.803 0.803 0.592 Ca
```

DOS at the Fermi energy ... 0.00 states/eV/f.u.
Calculated total energy ... -8.3509 eV/atom
Total moment ... 0.000 μB/f.u.
Symmetry ... R3
Formation energy from raw total energies ... -3.4267 eV per atom